Compound: In2WS
Source: the Alexandria database
Functional: PBE
Structure: relaxed

For the total magnetization, the calculation gives 8.5 μB per cell. Its formation energy (no corrections) is 0.85 eV/atom. For the calculated volume, the calculation gives 85.27 Å³/f.u.

The structure belongs to space group I-42d (No. 122); the cell edges are 7.637, 7.637 and 5.847 Å and the angles 90.00°, 90.00° and 90.00°. The inequivalent atoms are In at (0.237, 0.250, 0.125), W at (0.000, 0.000, 0.500) and S at (0.000, 0.000, 0.000).